1.
Density functional theory data (PBE) for a relaxed structure of Cs2MnWI6.

Unit cell a=8.2837 b=8.2837 c=8.2837 alpha=120.07 beta=120.07 gamma=89.89
With the nearest neighbours (Å) after each atom.
Fractional coordinates of all 10 atoms:
Cs  0.2500  0.7500  0.5000  12 I 4.14
Cs  0.7500  0.2500  0.5000  12 I 4.14
Mn  0.0000  0.0000  0.0000  6 I 2.98-3.00
W  0.5000  0.5000  0.0000  6 I 2.86-2.87
I  0.2550  0.2550  0.5099  1 W 2.87, 1 Mn 2.98
I  0.2550  0.7450  0.0000  1 W 2.87, 1 Mn 2.98
I  0.2559  0.2559  0.0000  1 W 2.86, 1 Mn 3.00
I  0.7441  0.7441  0.0000  1 W 2.86, 1 Mn 3.00
I  0.7450  0.2550  0.0000  1 W 2.87, 1 Mn 2.98
I  0.7450  0.7450  0.4901  1 W 2.87, 1 Mn 2.98

Properties
**SG**: I4/mmm, No. 139
**M_tot**: 8.63 Bohr magnetons per cell

---

2.
Density functional theory data (PBE) for a relaxed structure of MgZnSb.

Unit cell a=3.3124 b=5.2425 c=15.4190 alpha=90.00 beta=90.00 gamma=90.00
With the nearest neighbours (Å) after each atom.
Fractional coordinates of all 12 atoms:
Mg  0.0000  0.0000  0.1364  4 Zn 2.95, 5 Sb 3.11-3.13
Mg  0.0000  0.0000  0.8636  4 Zn 2.95, 5 Sb 3.11-3.13
Mg  0.5000  0.5000  0.3636  4 Zn 2.95, 5 Sb 3.11-3.13
Mg  0.5000  0.5000  0.6364  4 Zn 2.95, 5 Sb 3.11-3.13
Zn  0.0000  0.2621  0.5000  2 Zn 2.49-2.75
Zn  0.0000  0.7379  0.5000  2 Zn 2.49-2.75
Zn  0.5000  0.2379  0.0000  2 Zn 2.49-2.75
Zn  0.5000  0.7621  0.0000  2 Zn 2.49-2.75
Sb  0.0000  0.0000  0.3379  2 Zn 2.85, 5 Mg 3.11-3.13
Sb  0.0000  0.0000  0.6621  2 Zn 2.85, 5 Mg 3.11-3.13
Sb  0.5000  0.5000  0.1621  2 Zn 2.85, 5 Mg 3.11-3.13
Sb  0.5000  0.5000  0.8379  2 Zn 2.85, 5 Mg 3.11-3.13

Properties
**SG**: Immm, No. 71
**M_tot**: 0.00 Bohr magnetons per cell

---

3.
Density functional theory data (PBE) for a relaxed structure of TlMoRu.

Unit cell a=6.1963 b=6.1963 c=6.1963 alpha=90.00 beta=90.00 gamma=90.00
With the nearest neighbours (Å) after each atom.
Fractional coordinates of all 12 atoms:
Tl  0.0000  0.0000  0.0000  4 Ru 2.68
Tl  0.0000  0.5000  0.5000  4 Ru 2.68
Tl  0.5000  0.0000  0.5000  4 Ru 2.68
Tl  0.5000  0.5000  0.0000  4 Ru 2.68
Mo  0.0000  0.0000  0.5000  4 Ru 2.68
Mo  0.0000  0.5000  0.0000  4 Ru 2.68
Mo  0.5000  0.0000  0.0000  4 Ru 2.68
Mo  0.5000  0.5000  0.5000  4 Ru 2.68
Ru  0.2500  0.2500  0.7500  4 Tl 2.68, 4 Mo 2.68
Ru  0.2500  0.7500  0.2500  4 Tl 2.68, 4 Mo 2.68
Ru  0.7500  0.2500  0.2500  4 Tl 2.68, 4 Mo 2.68
Ru  0.7500  0.7500  0.7500  4 Mo 2.68, 4 Tl 2.68

Properties
**Polymorph energy (0 for the lowest one)**: 315 meV per atom
**Energy of formation**: 0.68 eV per atom
**SG**: F-43m, No. 216
**M_tot**: 0.00 Bohr magnetons per cell

---

4.
Density functional theory data (PBE) for a relaxed structure of HfMoP3.

Unit cell a=4.6397 b=4.6397 c=4.6397 alpha=90.00 beta=90.00 gamma=90.00
With the nearest neighbours (Å) after each atom.
Fractional coordinates of all 5 atoms:
Hf  0.0000  0.0000  0.0000  12 P 3.28
Mo  0.5000  0.5000  0.5000  6 P 2.32
P  0.0000  0.5000  0.5000  2 Mo 2.32
P  0.5000  0.0000  0.5000  2 Mo 2.32
P  0.5000  0.5000  0.0000  2 Mo 2.32

Properties
**Polymorph energy (0 for the lowest one)**: 0 meV per atom
**Energy of formation**: 0.51 eV per atom
**SG**: Pm-3m, No. 221
**M_tot**: 0.00 Bohr magnetons per cell

---

Total DFT energy (no corrections) values (in eV/atom) by entry order: -3.803; -2.415; -6.815; -6.896.